Sm3Pb5Se12 after structural relaxation, computed with GGA-PBE.

a b c (Å): 14.8429 14.8429 14.8429
angles (deg): 109.47 109.47 109.47
With the nearest neighbours (Å) after each atom.
Fractional coordinates of all 80 atoms:
Sm (0.7500, 0.3750, 0.1250)  8 Se 3.12
Sm (0.8750, 0.7500, 0.1250)  8 Se 3.12
Sm (0.3750, 0.7500, 0.6250)  8 Se 3.12
Sm (0.2500, 0.1250, 0.3750)  8 Se 3.12
Sm (0.8750, 0.1250, 0.2500)  8 Se 3.12
Sm (0.3750, 0.6250, 0.2500)  8 Se 3.12
Sm (0.6250, 0.3750, 0.7500)  8 Se 3.12
Sm (0.1250, 0.8750, 0.7500)  8 Se 3.12
Sm (0.7500, 0.8750, 0.6250)  8 Se 3.12
Sm (0.6250, 0.2500, 0.3750)  8 Se 3.12
Sm (0.1250, 0.2500, 0.8750)  8 Se 3.12
Sm (0.2500, 0.6250, 0.8750)  8 Se 3.12
Pb (0.1250, 0.3750, 0.2500)  4 Se 2.77
Pb (0.0000, 0.5000, 0.0000)  6 Se 2.96
Pb (0.0000, 0.0000, 0.0000)  6 Se 2.96
Pb (0.3750, 0.2500, 0.1250)  4 Se 2.77
Pb (0.5000, 0.0000, 0.5000)  6 Se 2.96
Pb (0.5000, 0.5000, 0.0000)  6 Se 2.96
Pb (0.1250, 0.7500, 0.3750)  4 Se 2.77
Pb (0.7500, 0.1250, 0.8750)  4 Se 2.77
Pb (0.7500, 0.6250, 0.3750)  4 Se 2.77
Pb (0.3750, 0.1250, 0.7500)  4 Se 2.77
Pb (0.6250, 0.8750, 0.2500)  4 Se 2.77
Pb (0.5000, 0.5000, 0.5000)  6 Se 2.96
Pb (0.5000, 0.0000, 0.0000)  6 Se 2.96
Pb (0.0000, 0.0000, 0.5000)  6 Se 2.96
Pb (0.2500, 0.3750, 0.6250)  4 Se 2.77
Pb (0.2500, 0.8750, 0.1250)  4 Se 2.77
Pb (0.0000, 0.5000, 0.5000)  6 Se 2.96
Pb (0.8750, 0.2500, 0.6250)  4 Se 2.77
Pb (0.6250, 0.7500, 0.8750)  4 Se 2.77
Pb (0.8750, 0.6250, 0.7500)  4 Se 2.77
Se (0.7279, 0.1423, 0.0574)  2 Pb 2.77-2.96
Se (0.3295, 0.5574, 0.4150)  2 Pb 2.77-2.96
Se (0.9426, 0.3577, 0.2721)  2 Pb 2.77-2.96
Se (0.5574, 0.2279, 0.1423)  2 Pb 2.77-2.96
Se (0.5855, 0.7279, 0.6705)  2 Pb 2.77-2.96
Se (0.9426, 0.5850, 0.1705)  2 Pb 2.77-2.96
Se (0.3295, 0.7721, 0.4145)  2 Pb 2.77-2.96
Se (0.0850, 0.9145, 0.1423)  2 Pb 2.77-2.96
Se (0.5850, 0.9426, 0.6705)  2 Pb 2.77-2.96
Se (0.7279, 0.5855, 0.1705)  2 Pb 2.77-2.96
Se (0.7721, 0.4426, 0.3577)  2 Pb 2.77-2.96
Se (0.8295, 0.9150, 0.0574)  2 Pb 2.77-2.96
Se (0.1423, 0.7279, 0.5574)  2 Pb 2.77-2.96
Se (0.3577, 0.4150, 0.0855)  2 Pb 2.77-2.96
Se (0.0855, 0.9150, 0.3577)  2 Pb 2.77-2.96
Se (0.4145, 0.1423, 0.5850)  2 Pb 2.77-2.96
Se (0.0855, 0.1705, 0.2279)  2 Pb 2.77-2.96
Se (0.4426, 0.6705, 0.0850)  2 Pb 2.77-2.96
Se (0.8295, 0.9145, 0.2721)  2 Pb 2.77-2.96
Se (0.1423, 0.4145, 0.0850)  2 Pb 2.77-2.96
Se (0.3577, 0.9426, 0.7721)  2 Pb 2.77-2.96
Se (0.5850, 0.6423, 0.4145)  2 Pb 2.77-2.96
Se (0.9150, 0.8295, 0.5574)  2 Pb 2.77-2.96
Se (0.7721, 0.3295, 0.9145)  2 Pb 2.77-2.96
Se (0.4150, 0.3577, 0.5855)  2 Pb 2.77-2.96
Se (0.0850, 0.1705, 0.4426)  2 Pb 2.77-2.96
Se (0.2279, 0.6705, 0.0855)  2 Pb 2.77-2.96
Se (0.1705, 0.0855, 0.7279)  2 Pb 2.77-2.96
Se (0.6423, 0.0574, 0.2279)  2 Pb 2.77-2.96
Se (0.8577, 0.5855, 0.9150)  2 Pb 2.77-2.96
Se (0.5574, 0.3295, 0.9150)  2 Pb 2.77-2.96
Se (0.5855, 0.8577, 0.4150)  2 Pb 2.77-2.96
Se (0.9145, 0.8295, 0.7721)  2 Pb 2.77-2.96
Se (0.9145, 0.0850, 0.6423)  2 Pb 2.77-2.96
Se (0.8577, 0.2721, 0.4426)  2 Pb 2.77-2.96
Se (0.1705, 0.0850, 0.9426)  2 Pb 2.77-2.96
Se (0.6423, 0.5850, 0.9145)  2 Pb 2.77-2.96
Se (0.4150, 0.0574, 0.3295)  2 Pb 2.77-2.96
Se (0.2721, 0.4145, 0.8295)  2 Pb 2.77-2.96
Se (0.2279, 0.5574, 0.6423)  2 Pb 2.77-2.96
Se (0.9150, 0.0855, 0.8577)  2 Pb 2.77-2.96
Se (0.6705, 0.2279, 0.5855)  2 Pb 2.77-2.96
Se (0.4426, 0.7721, 0.8577)  2 Pb 2.77-2.96
Se (0.0574, 0.4150, 0.8295)  2 Pb 2.77-2.96
Se (0.4145, 0.2721, 0.3295)  2 Pb 2.77-2.96
Se (0.0574, 0.6423, 0.7279)  2 Pb 2.77-2.96
Se (0.6705, 0.4426, 0.5850)  2 Pb 2.77-2.96
Se (0.2721, 0.8577, 0.9426)  2 Pb 2.77-2.96

- Size of the total moment: 0.00 μB/cell
- Density of states at the Fermi level: 38.7 states/eV/cell
- Electronic total energy: -4.52 eV per atom
- Formation energy without anion corrections: -0.794 eV/atom
- Calculated density: 6.4 g/cm³

BaAg2Te after structural relaxation, computed with GGA-PBE.

a b c (Å): 4.7167 4.7662 5.2954
angles (deg): 90.00 90.00 90.00
With the nearest neighbours (Å) after each atom.
Fractional coordinates of all 4 atoms:
Te (0.0000, 0.5000, 0.5000)  4 Ba 3.35, 8 Ag 3.55-3.56
Ba (0.5000, 0.0000, 0.5000)  4 Te 3.35, 8 Ag 3.55-3.56
Ag (0.0000, 0.0000, 0.0000)  4 Ag 3.35, 4 Ba 3.55, 4 Te 3.56
Ag (0.5000, 0.5000, 0.0000)  4 Ag 3.35, 4 Te 3.55, 4 Ba 3.56

- Size of the total moment: 0.00 μB/cell
- Density of states at the Fermi level: 1.0 states/eV/cell
- Electronic total energy: -3.03 eV per atom
- Formation energy without anion corrections: -0.334 eV/atom
- Calculated density: 6.7 g/cm³

Ba2NdS3 after structural relaxation, computed with GGA-PBE.

a b c (Å): 6.1932 8.6350 7.6338
angles (deg): 106.43 113.93 90.00
With the nearest neighbours (Å) after each atom.
Fractional coordinates of all 12 atoms:
Ba (0.6701, 0.5850, 0.3401)  6 S 3.11-3.24
Ba (0.6700, 0.0850, 0.3401)  6 S 3.11-3.24
Ba (0.3300, 0.9150, 0.6599)  6 S 3.11-3.24
Ba (0.3299, 0.4150, 0.6599)  6 S 3.11-3.24
Nd (0.9999, 0.7500, 0.0000)  6 S 2.91-3.10
Nd (0.0001, 0.2500, 0.0000)  6 S 2.91-3.10
S (0.4997, 0.2500, 0.0000)  2 Nd 3.09-3.10, 4 Ba 3.12
S (0.5003, 0.7500, 0.0000)  2 Nd 3.09-3.10, 4 Ba 3.12
S (0.1474, 0.0738, 0.2949)  2 Nd 2.91, 4 Ba 3.11-3.24
S (0.8525, 0.4262, 0.7051)  2 Nd 2.91, 4 Ba 3.11-3.24
S (0.1475, 0.5738, 0.2949)  2 Nd 2.91, 4 Ba 3.11-3.24
S (0.8526, 0.9262, 0.7051)  2 Nd 2.91, 4 Ba 3.11-3.24

- Size of the total moment: 0.00 μB/cell
- Density of states at the Fermi level: 3.2 states/eV/cell
- Electronic total energy: -5.50 eV per atom
- Formation energy without anion corrections: -2.003 eV/atom
- Calculated density: 4.8 g/cm³

MgSb2W after structural relaxation, computed with GGA-PBE.

a b c (Å): 4.9359 4.9359 4.9359
angles (deg): 122.78 122.81 85.22
With the nearest neighbours (Å) after each atom.
Fractional coordinates of all 4 atoms:
Mg (0.2500, 0.7500, 0.5000)  8 Sb 2.98
Sb (0.0000, 0.0000, 0.0000)  4 Mg 2.98, 4 W 2.98
Sb (0.5000, 0.5000, 0.0000)  4 Mg 2.98, 4 W 2.98
W (0.7500, 0.2500, 0.5000)  8 Sb 2.98

- Size of the total moment: 0.00 μB/cell
- Density of states at the Fermi level: 4.0 states/eV/cell
- Electronic total energy: -5.28 eV per atom
- Formation energy without anion corrections: 0.420 eV/atom
- Calculated density: 9.2 g/cm³

Nd2B2Ir3 after structural relaxation, computed with GGA-PBE.

a b c (Å): 3.6145 5.3430 7.0895
angles (deg): 114.63 90.00 109.77
With the nearest neighbours (Å) after each atom.
Fractional coordinates of all 7 atoms:
Nd (0.8596, 0.7193, 0.2210)  3 B 2.72-2.96, 2 Ir 3.01
Nd (0.1404, 0.2807, 0.7790)  3 B 2.72-2.96, 2 Ir 3.01
B (0.8556, 0.7112, 0.7287)  3 Ir 2.18-2.28
B (0.1444, 0.2888, 0.2713)  3 Ir 2.18-2.28
Ir (0.5000, 0.0000, 0.0000)  4 B 2.57, 2 Ir 2.77
Ir (0.6332, 0.2664, 0.4358)  3 B 2.18-2.28
Ir (0.3668, 0.7336, 0.5642)  3 B 2.18-2.28

- Energy of formation from the pure elements: -36.83 kJ per mole of atoms
- Size of the total moment: 0.00 μB/cell
- Density of states at the Fermi level: 4.2 states/eV/cell
- Electronic total energy: -7.45 eV per atom
- Calculated density: 12.7 g/cm³

RbCdSbCl6 after structural relaxation, computed with GGA-PBE.

a b c (Å): 6.9925 6.9925 7.2861
angles (deg): 90.00 90.00 60.00
With the nearest neighbours (Å) after each atom.
Fractional coordinates of all 9 atoms:
Rb (0.0000, 0.0000, 0.0000)  6 Cl 3.36
Cd (0.3333, 0.3333, 0.5000)  6 Cl 2.67
Sb (0.6666, 0.6667, 0.5000)  6 Cl 2.69
Cl (0.0015, 0.3736, 0.2900)  1 Cd 2.67, 1 Sb 2.69
Cl (0.3736, 0.0015, 0.7100)  1 Cd 2.67, 1 Sb 2.69
Cl (0.6249, 0.3736, 0.7100)  1 Cd 2.67, 1 Sb 2.69
Cl (0.0015, 0.6249, 0.7100)  1 Cd 2.67, 1 Sb 2.69
Cl (0.3736, 0.6249, 0.2900)  1 Cd 2.67, 1 Sb 2.69
Cl (0.6249, 0.0015, 0.2900)  1 Cd 2.67, 1 Sb 2.69

- Size of the total moment: 0.00 μB/cell
- Density of states at the Fermi level: 0.0 states/eV/cell
- Electronic total energy: -3.11 eV per atom
- Formation energy without anion corrections: -1.211 eV/atom
- Calculated density: 2.9 g/cm³